# 1
The following is a DFT calculation (PBE-GGA) of crystalline Tl2ICl5 at its relaxed geometry.

a = 7.152 Å, b = 8.068 Å, c = 9.015 Å
α = 134.62°, β = 113.37°, γ = 90.00°
Positions (direct):
Cl1 0.315 0.281 0.134
Cl2 0.738 0.856 0.477
Cl3 0.229 0.711 0.968
Cl4 0.819 0.281 0.134
Cl5 0.740 0.711 0.968
I1 0.020 0.998 0.041
Tl1 0.193 0.763 0.386
Tl2 0.722 0.174 0.444

## Properties
As for the density: 3.85 g/cm3. The energy comes out at -2.498 eV per atom. As for the symmetry: Cm (8). The value obtained for the spin magnetization is 0.0 Bohr magnetons per cell. The energy above the lowest structure with this stoichiometry comes out at 60 meV per atom.

=====

# 2
The following is a DFT calculation (PBE-GGA) of crystalline CePrS2 at its relaxed geometry.

a = 3.967 Å, b = 3.967 Å, c = 7.498 Å
α = 74.66°, β = 74.66°, γ = 60.00°
Last column: magnetic moment on the atom in μB.
Positions (direct):
Ce1 0.495 0.495 0.514  0.91
Pr1 0.671 0.671 0.986  -0.01
S1 0.084 0.084 0.749  -0.01
S2 0.250 0.250 0.250  -0.01

## Properties
As for the density: 5.89 g/cm3. The energy comes out at -6.666 eV per atom. As for the symmetry: R3m (160). The value obtained for the spin magnetization is 1.1 Bohr magnetons per cell. The energy above the lowest structure with this stoichiometry comes out at 111 meV per atom.

=====

# 3
The following is a DFT calculation (PBE-GGA) of crystalline BaZn3Rh at its relaxed geometry.

a = 3.833 Å, b = 7.562 Å, c = 7.562 Å
α = 141.83°, β = 90.00°, γ = 90.00°
Positions (direct):
Ba1 0.500 0.094 0.906
Zn1 0.500 0.639 0.872
Zn2 0.500 0.128 0.361
Zn3 0.000 0.294 0.706
Rh1 0.000 0.473 0.527

## Properties
As for the density: 5.35 g/cm3. The energy comes out at -2.520 eV per atom. As for the symmetry: Amm2 (38). The value obtained for the spin magnetization is 0.0 Bohr magnetons per cell. The energy above the lowest structure with this stoichiometry comes out at 456 meV per atom.

=====

# 4
The following is a DFT calculation (PBE-GGA) of crystalline CdTePtW2 at its relaxed geometry.

a = 5.047 Å, b = 4.862 Å, c = 5.047 Å
α = 90.00°, β = 90.00°, γ = 90.00°
Last column: magnetic moment on the atom in μB.
Positions (direct):
Cd1 0.000 0.000 0.000  0.06
Te1 0.500 0.500 0.500  -0.17
W1 0.000 0.000 0.500  1.90
W2 0.500 0.000 0.000  1.63
Pt1 0.000 0.500 0.000  -0.03

## Properties
As for the density: 10.76 g/cm3. The energy comes out at -4.819 eV per atom. As for the symmetry: P4/mmm (123). The value obtained for the spin magnetization is 4.4 Bohr magnetons per cell.

=====

# 5
The following is a DFT calculation (PBE-GGA) of crystalline Y2ZnFe2 at its relaxed geometry.

a = 6.940 Å, b = 6.940 Å, c = 4.060 Å
α = 90.00°, β = 90.00°, γ = 90.00°
Last column: magnetic moment on the atom in μB.
Positions (direct):
Y1 0.820 0.320 0.500  -0.21
Y2 0.680 0.820 0.500  -0.21
Y3 0.320 0.180 0.500  -0.21
Y4 0.180 0.680 0.500  -0.21
Fe1 0.386 0.886 0.000  2.00
Fe2 0.886 0.614 0.000  1.99
Fe3 0.114 0.386 0.000  1.99
Fe4 0.614 0.114 0.000  2.00
Zn1 0.500 0.500 0.000  -0.04
Zn2 0.000 0.000 0.000  -0.04

## Properties
As for the density: 6.03 g/cm3. The energy comes out at -6.285 eV per atom. As for the symmetry: P4/mbm (127). The value obtained for the spin magnetization is 6.5 Bohr magnetons per cell.

=====

# 6
The following is a DFT calculation (PBE-GGA) of crystalline K2N2Cl3 at its relaxed geometry.

a = 4.344 Å, b = 9.677 Å, c = 8.385 Å
α = 65.81°, β = 45.21°, γ = 63.50°
Last column: magnetic moment on the atom in μB.
Positions (direct):
Cl1 0.500 0.000 0.000  0.13
Cl2 0.707 0.476 0.225  0.42
Cl3 0.293 0.524 0.775  0.42
K1 0.766 0.257 0.985  0.00
K2 0.234 0.743 0.015  0.00
N1 0.938 0.830 0.477  1.90
N2 0.062 0.170 0.523  1.90

## Properties
As for the density: 1.60 g/cm3. The energy comes out at -3.012 eV per atom. As for the symmetry: P-1 (2). The value obtained for the spin magnetization is 7.0 Bohr magnetons per cell.